(1)
DFT (PBE) results for a geometry-optimized SrHfMgPb2 structure.

Its formation enthalpy at 0 K is 0.13 eV per atom. The calculation puts the density at 6.62 Mg/m³. The value obtained for the magnetization is 0.184 μB/cell. The density of states at the Fermi level is 3.19 states/eV/f.u.

```
data_SrHfMgPb2
_space_group_name_H-M_alt 'P 1'
_space_group_IT_number 1
_space_group_name_Hall 'P 1'
_cell_length_a 5.617
_cell_length_b 5.617
_cell_length_c 5.600
_cell_angle_alpha 90.00
_cell_angle_beta 90.00
_cell_angle_gamma 90.00
loop_
_atom_site_label
_atom_site_type_symbol
_atom_site_fract_x
_atom_site_fract_y
_atom_site_fract_z
_atom_site_occupancy
Sr1 Sr 0.000 0.000 0.000 1
Hf1 Hf 0.500 0.500 0.500 1
Mg1 Mg 0.500 0.500 0.000 1
Pb1 Pb 0.000 0.500 0.500 1
Pb2 Pb 0.500 0.000 0.500 1
```

(2)
DFT (PBE) results for a geometry-optimized HfMgTcPb2 structure.

Its formation enthalpy at 0 K is 0.49 eV per atom. The calculation puts the density at 8.38 Mg/m³. The value obtained for the magnetization is 0.000 μB/cell. The density of states at the Fermi level is 5.82 states/eV/f.u.

```
data_HfMgTcPb2
_space_group_name_H-M_alt 'P 1'
_space_group_IT_number 1
_space_group_name_Hall 'P 1'
_cell_length_a 5.330
_cell_length_b 5.330
_cell_length_c 4.987
_cell_angle_alpha 90.00
_cell_angle_beta 90.00
_cell_angle_gamma 90.00
loop_
_atom_site_label
_atom_site_type_symbol
_atom_site_fract_x
_atom_site_fract_y
_atom_site_fract_z
_atom_site_occupancy
Hf1 Hf 0.000 0.000 0.000 1
Mg1 Mg 0.500 0.500 0.000 1
Tc1 Tc 0.000 0.000 0.500 1
Pb1 Pb 0.000 0.500 0.500 1
Pb2 Pb 0.500 0.000 0.500 1
```

(3)
DFT (PBE) results for a geometry-optimized HfMgPd6 structure.

Its formation enthalpy at 0 K is -0.70 eV per atom. The calculation puts the density at 10.98 Mg/m³. The value obtained for the magnetization is 0.000 μB/cell. The density of states at the Fermi level is 7.77 states/eV/f.u.

```
data_HfMgPd6
_space_group_name_H-M_alt 'P 1'
_space_group_IT_number 1
_space_group_name_Hall 'P 1'
_cell_length_a 4.001
_cell_length_b 4.001
_cell_length_c 7.950
_cell_angle_alpha 90.00
_cell_angle_beta 90.00
_cell_angle_gamma 90.00
loop_
_atom_site_label
_atom_site_type_symbol
_atom_site_fract_x
_atom_site_fract_y
_atom_site_fract_z
_atom_site_occupancy
Hf1 Hf 0.000 0.000 0.000 1
Mg1 Mg 0.000 0.000 0.500 1
Pd1 Pd 0.000 0.500 0.249 1
Pd2 Pd 0.000 0.500 0.751 1
Pd3 Pd 0.500 0.000 0.249 1
Pd4 Pd 0.500 0.000 0.751 1
Pd5 Pd 0.500 0.500 0.000 1
Pd6 Pd 0.500 0.500 0.500 1
```

Which value of density does entry 3 give? 10.98 Mg/m³

Repeat the third record exactly.
DFT (PBE) results for a geometry-optimized HfMgPd6 structure.

Its formation enthalpy at 0 K is -0.70 eV per atom. The calculation puts the density at 10.98 Mg/m³. The value obtained for the magnetization is 0.000 μB/cell. The density of states at the Fermi level is 7.77 states/eV/f.u.

```
data_HfMgPd6
_space_group_name_H-M_alt 'P 1'
_space_group_IT_number 1
_space_group_name_Hall 'P 1'
_cell_length_a 4.001
_cell_length_b 4.001
_cell_length_c 7.950
_cell_angle_alpha 90.00
_cell_angle_beta 90.00
_cell_angle_gamma 90.00
loop_
_atom_site_label
_atom_site_type_symbol
_atom_site_fract_x
_atom_site_fract_y
_atom_site_fract_z
_atom_site_occupancy
Hf1 Hf 0.000 0.000 0.000 1
Mg1 Mg 0.000 0.000 0.500 1
Pd1 Pd 0.000 0.500 0.249 1
Pd2 Pd 0.000 0.500 0.751 1
Pd3 Pd 0.500 0.000 0.249 1
Pd4 Pd 0.500 0.000 0.751 1
Pd5 Pd 0.500 0.500 0.000 1
Pd6 Pd 0.500 0.500 0.500 1
```

Which of these has the highest formation enthalpy at 0 K? HfMgTcPb2